[1]
Here is a relaxed Ba2ScVTc crystal from the Alexandria database. Energies are from PBE.

Results
The total magnetization is 1.55 μB per cell. Its crystal system is tetragonal. For the energy of formation from the pure elements, the calculation gives 1.023 eV/atom.

a = 6.322 Å, b = 4.406 Å, c = 6.322 Å
α = 90.00°, β = 90.00°, γ = 90.00°
Last column: magnetic moment on the atom in μB.
Element x y z (fractional)
Ba: 0.500 0.000 0.000  0.08
Ba: 0.000 0.000 0.500  0.11
Sc: 0.500 0.500 0.500  0.35
Tc: 0.000 0.500 0.000  -1.04
V: 0.000 0.000 0.000  1.47

=====

[2]
Here is a relaxed BaYScTc2 crystal from the Alexandria database. Energies are from PBE.

Results
The total magnetization is 2.23 μB per cell. Its crystal system is tetragonal. For the energy of formation from the pure elements, the calculation gives 1.380 eV/atom.

a = 5.124 Å, b = 5.435 Å, c = 5.124 Å
α = 90.00°, β = 90.00°, γ = 90.00°
Last column: magnetic moment on the atom in μB.
Element x y z (fractional)
Tc: 0.500 0.000 0.000  1.30
Tc: 0.000 0.000 0.500  1.22
Sc: 0.000 0.500 0.000  -0.30
Y: 0.000 0.000 0.000  -0.16
Ba: 0.500 0.500 0.500  0.00

=====

[3]
Here is a relaxed BaY2ScTc crystal from the Alexandria database. Energies are from PBE.

Results
The total magnetization is 0.00 μB per cell. Its crystal system is tetragonal. For the energy of formation from the pure elements, the calculation gives 0.082 eV/atom.

a = 5.548 Å, b = 5.548 Å, c = 5.259 Å
α = 90.00°, β = 90.00°, γ = 90.00°
Element x y z (fractional)
Ba: 0.500 0.500 0.500
Sc: 0.000 0.000 0.500
Y: 0.000 0.500 0.000
Y: 0.500 0.000 0.000
Tc: 0.000 0.000 0.000